[1]
Al4IrRu2 | GGA-PBE | relaxed

The structure in extended XYZ format:
```
7
Lattice="2.121 1.225 6.748 -2.121 1.225 6.748 0.000 -2.450 6.748" Properties=species:S:1:pos:R:3 pbc="T T T"
Al 0.000 0.000 2.422
Al 0.000 0.000 7.530
Al 0.000 0.000 12.714
Al 0.000 0.000 17.823
Ir 0.000 0.000 10.122
Ru 0.000 0.000 5.047
Ru 0.000 0.000 15.197
```

Space-group type ... R-3m
Calculated formation energy ... -600.2 meV/atom
Final energy ... -6.655 eV per atom
M_tot ... 0.00 μB/f.u.
Calculated volume ... 15.0 Å³ per atom

[2]
RbAgGe2Sb | GGA-PBE | relaxed

The structure in extended XYZ format:
```
5
Lattice="5.197 0.000 0.000 0.000 5.197 0.000 0.000 0.000 5.679" Properties=species:S:1:pos:R:3 pbc="T T T"
Rb 0.000 0.000 0.000
Ag 2.599 2.599 2.839
Ge 0.000 2.599 2.839
Ge 2.599 0.000 2.839
Sb 2.599 2.599 0.000
```

Space-group type ... P4/mmm
Final energy ... -3.026 eV per atom
E_form (uncorrected) ... 0.409 eV/atom
M_tot ... 0.00 μB/f.u.
Calculated volume ... 30.7 Å³ per atom

[3]
AcPrTeSe2 | GGA-PBE | relaxed

The structure in extended XYZ format:
```
5
Lattice="-2.414 2.414 7.481 2.414 -2.414 7.481 2.414 2.414 -7.481" Properties=species:S:1:pos:R:3 pbc="T T T"
Ac 0.000 0.000 0.000
Pr 0.000 0.000 10.845
Te 0.000 0.000 5.544
Se 2.414 0.000 1.800
Se 0.000 2.414 1.800
```

Space-group type ... I4mm
Final energy ... -5.305 eV per atom
E_form (uncorrected) ... -1.505 eV/atom
M_tot ... 0.00 μB/f.u.
Calculated volume ... 34.9 Å³ per atom

[4]
AlCrAs2Se | GGA-PBE | relaxed

The structure in extended XYZ format:
```
5
Lattice="4.510 0.000 0.000 0.000 4.510 0.000 0.000 0.000 5.430" Properties=species:S:1:pos:R:3 pbc="T T T"
Al 0.000 0.000 0.000
Cr 2.255 2.255 2.715
As 0.000 2.255 2.715
As 2.255 0.000 2.715
Se 2.255 2.255 0.000
```

Space-group type ... P4/mmm
Final energy ... -4.876 eV per atom
E_form (uncorrected) ... 0.354 eV/atom
M_tot ... 0.83 μB/f.u.
Calculated volume ... 22.1 Å³ per atom

[5]
Tl2HgAuBr | GGA-PBE | relaxed

The structure in extended XYZ format:
```
5
Lattice="5.711 0.000 0.000 0.000 5.711 0.000 0.000 0.000 5.356" Properties=species:S:1:pos:R:3 pbc="T T T"
Tl 0.000 2.855 0.000
Tl 2.855 0.000 0.000
Hg 0.000 0.000 2.678
Au 0.000 0.000 0.000
Br 2.855 2.855 2.678
```

Space-group type ... P4/mmm
Final energy ... -2.256 eV per atom
E_form (uncorrected) ... -0.259 eV/atom
M_tot ... 0.00 μB/f.u.
Calculated volume ... 34.9 Å³ per atom

[6]
Ca2Al4AgHg3 | GGA-PBE | relaxed

The structure in extended XYZ format:
```
10
Lattice="4.417 0.000 0.000 0.000 4.417 0.000 0.000 0.000 11.443" Properties=species:S:1:pos:R:3 pbc="T T T"
Ca 0.000 2.209 2.789
Ca 2.209 0.000 8.654
Al 0.000 0.000 5.721
Al 0.000 2.209 9.943
Al 2.209 0.000 1.500
Al 2.209 2.209 5.721
Ag 2.209 2.209 0.000
Hg 0.000 0.000 0.000
Hg 0.000 2.209 7.344
Hg 2.209 0.000 4.099
```

Space-group type ... P-4m2
Calculated formation energy ... -233.8 meV/atom
Final energy ... -2.507 eV per atom
M_tot ... 0.00 μB/f.u.
Calculated volume ... 22.3 Å³ per atom

[7]
RbLa2NbSn | GGA-PBE | relaxed

The structure in extended XYZ format:
```
5
Lattice="6.230 0.000 0.000 0.000 6.230 0.000 0.000 0.000 5.429" Properties=species:S:1:pos:R:3 pbc="T T T"
Rb 0.000 0.000 0.000
La 0.000 3.115 2.714
La 3.115 0.000 2.714
Nb 3.115 3.115 0.000
Sn 3.115 3.115 2.714
```

Space-group type ... P4/mmm
Calculated formation energy ... 649.2 meV/atom
Final energy ... -4.330 eV per atom
M_tot ... 3.50 μB/f.u.
Calculated volume ... 42.1 Å³ per atom

[8]
NiAs2Rh | GGA-PBE | relaxed

The structure in extended XYZ format:
```
4
Lattice="3.108 0.000 0.000 0.000 3.061 0.000 -0.084 0.000 6.158" Properties=species:S:1:pos:R:3 pbc="T T T"
Ni 0.000 0.000 0.000
As 1.515 1.531 1.493
As 1.508 1.531 4.665
Rh -0.042 0.000 3.079
```

Space-group type ... P2/m
Calculated formation energy ... -73.6 meV/atom
Final energy ... -5.682 eV per atom
M_tot ... 0.00 μB/f.u.
Calculated volume ... 14.6 Å³ per atom

[9]
CsSiTeCSe | GGA-PBE | relaxed

The structure in extended XYZ format:
```
5
Lattice="4.728 -2.035 0.000 4.728 2.035 0.000 -2.699 0.000 7.641" Properties=species:S:1:pos:R:3 pbc="T T T"
Cs 0.000 0.000 0.000
Si 1.711 0.000 3.647
Te 4.117 0.000 5.016
C 0.258 0.000 4.728
Se 6.723 0.000 2.380
```

Space-group type ... Cm
Final energy ... -4.244 eV per atom
E_form (uncorrected) ... 0.181 eV/atom
M_tot ... 0.00 μB/f.u.
Calculated volume ... 29.4 Å³ per atom

[10]
Cr2CuPt | GGA-PBE | relaxed

The structure in extended XYZ format:
```
4
Lattice="4.389 -1.393 0.000 4.389 1.393 0.000 -1.087 0.000 4.478" Properties=species:S:1:pos:R:3 pbc="T T T"
Cr 0.000 0.000 0.000
Cr 6.159 0.000 1.039
Cu 3.747 0.000 2.167
Pt 1.343 0.000 3.264
```

Space-group type ... Cm
Calculated formation energy ... 43.2 meV/atom
Final energy ... -7.303 eV per atom
M_tot ... 0.21 μB/f.u.
Calculated volume ... 13.7 Å³ per atom

[11]
Hg3Te2 | GGA-PBE | relaxed

The structure in extended XYZ format:
```
10
Lattice="3.832 2.212 6.747 -3.832 2.212 6.747 0.000 -4.425 6.747" Properties=species:S:1:pos:R:3 pbc="T T T"
Hg -2.689 -0.232 8.434
Hg -1.143 -2.445 11.808
Hg 1.545 -2.212 8.434
Hg -1.545 2.212 11.808
Hg 1.143 2.445 8.434
Hg 2.689 0.232 11.808
Te 0.000 0.000 2.931
Te 0.000 0.000 7.190
Te 0.000 0.000 13.052
Te 0.000 0.000 17.311
```

Space-group type ... R-3c
Final energy ... -1.444 eV per atom
E_form (uncorrected) ... -0.006 eV/atom
M_tot ... 0.00 μB/f.u.
Calculated volume ... 34.3 Å³ per atom

[12]
Rb2LiIn4Sn3 | GGA-PBE | relaxed

The structure in extended XYZ format:
```
10
Lattice="5.088 0.000 0.000 0.000 5.088 0.000 0.000 0.000 12.497" Properties=species:S:1:pos:R:3 pbc="T T T"
Rb 0.000 2.544 3.068
Rb 2.544 0.000 9.429
Li 0.000 0.000 6.249
In 0.000 0.000 0.000
In 0.000 2.544 7.881
In 2.544 0.000 4.616
In 2.544 2.544 0.000
Sn 0.000 2.544 10.842
Sn 2.544 0.000 1.655
Sn 2.544 2.544 6.249
```

Space-group type ... P-4m2
Calculated formation energy ... -150.7 meV/atom
Final energy ... -2.832 eV per atom
M_tot ... 0.00 μB/f.u.
Calculated volume ... 32.3 Å³ per atom